Density functional theory data (PBE) for crystalline BaSr2V at its relaxed geometry.

Cell lengths 10.158, 10.158, 8.083 Å; angles 51.07, 51.07, 90.00 degrees
Site moments in Bohr magnetons follow the coordinates.
Element x y z (fractional)
Sr1 0.555 0.125 0.250  0.08
Sr2 0.195 0.625 0.250  0.08
Sr3 0.375 0.445 0.750  0.08
Sr4 0.875 0.805 0.750  0.08
Ba1 0.000 0.000 0.000  0.03
Ba2 0.750 0.250 0.500  0.03
V1 0.500 0.500 0.000  3.15
V2 0.250 0.750 0.500  3.15

Output
* energy of formation: 0.69 eV/atom
* ΔE to the lowest computed polymorph: 84.9 meV/atom